No. 1
Material: PuBH6
Method: DFT, PBE-GGA
State: relaxed

Output
The value obtained for the total DFT energy (no corrections) is -5.159 eV per atom.

abc: 4.9632 5.9913 3.9266
angles: 90.00 105.20 90.00
Atoms (fractional coordinates):
Pu1 0.0000 0.0000 0.0000
Pu2 0.5000 0.5000 0.0000
B1 0.0000 0.5000 0.5000
B2 0.5000 0.0000 0.5000
H1 0.0966 0.3357 0.7617
H2 0.0966 0.6643 0.7617
H3 0.2338 0.0000 0.5606
H4 0.2662 0.5000 0.4394
H5 0.4034 0.1643 0.2383
H6 0.4034 0.8357 0.2383
H7 0.5966 0.1643 0.7617
H8 0.5966 0.8357 0.7617
H9 0.7338 0.5000 0.5606
H10 0.7662 0.0000 0.4394
H11 0.9034 0.3357 0.2383
H12 0.9034 0.6643 0.2383

No. 2
Material: PuB4H12
Method: DFT, PBE-GGA
State: relaxed

Output
The value obtained for the total DFT energy (no corrections) is -4.507 eV per atom.

abc: 5.2284 5.2284 5.2284
angles: 109.47 109.47 109.47
Atoms (fractional coordinates):
Pu1 0.0000 0.0000 0.0000
B1 0.0000 0.0000 0.5000
B2 0.0000 0.5000 0.0000
B3 0.5000 0.0000 0.0000
B4 0.5000 0.5000 0.5000
H1 0.0000 0.2552 0.7448
H2 0.0000 0.7448 0.2552
H3 0.2552 0.0000 0.7448
H4 0.2552 0.2552 0.5103
H5 0.2552 0.5103 0.2552
H6 0.2552 0.7448 0.0000
H7 0.4897 0.7448 0.7448
H8 0.5103 0.2552 0.2552
H9 0.7448 0.0000 0.2552
H10 0.7448 0.2552 0.0000
H11 0.7448 0.4897 0.7448
H12 0.7448 0.7448 0.4897

No. 3
Material: PuB2H8
Method: DFT, PBE-GGA
State: relaxed

Output
The value obtained for the total DFT energy (no corrections) is -5.166 eV per atom.

abc: 4.4167 4.4167 5.7782
angles: 112.51 112.51 59.90
Atoms (fractional coordinates):
Pu1 0.0000 0.0000 0.0000
B1 0.2344 0.2344 0.7043
B2 0.7656 0.7656 0.2957
H1 0.0495 0.5858 0.2202
H2 0.1563 0.1563 0.4697
H3 0.4139 0.4139 0.7800
H4 0.4142 0.9505 0.7798
H5 0.5858 0.0495 0.2202
H6 0.5861 0.5861 0.2200
H7 0.8437 0.8437 0.5303
H8 0.9505 0.4142 0.7798

No. 4
Material: PuB2H6
Method: DFT, PBE-GGA
State: relaxed

Output
The value obtained for the total DFT energy (no corrections) is -4.112 eV per atom. The value obtained for the energy above the lowest structure with this stoichiometry is 1.263 eV per atom.

abc: 4.3645 4.3645 4.3645
angles: 60.00 60.00 60.00
Atoms (fractional coordinates):
Pu1 0.0000 0.0000 0.0000
B1 0.2500 0.2500 0.2500
B2 0.7500 0.7500 0.7500
H1 0.3275 0.3275 0.6725
H2 0.3275 0.6725 0.3275
H3 0.3275 0.6725 0.6725
H4 0.6725 0.3275 0.3275
H5 0.6725 0.3275 0.6725
H6 0.6725 0.6725 0.3275

No. 5
Material: PuBH4
Method: DFT, PBE-GGA
State: relaxed

Output
The value obtained for the total DFT energy (no corrections) is -5.910 eV per atom.

abc: 6.3954 6.3954 4.0234
angles: 90.00 90.00 143.11
Atoms (fractional coordinates):
Pu1 0.1393 0.8607 0.7500
Pu2 0.8607 0.1393 0.2500
B1 0.3712 0.6288 0.7500
B2 0.6288 0.3712 0.2500
H1 0.1878 0.3156 0.7500
H2 0.3095 0.6905 0.0085
H3 0.3095 0.6905 0.4915
H4 0.3156 0.1878 0.2500
H5 0.6844 0.8122 0.7500
H6 0.6905 0.3095 0.5085
H7 0.6905 0.3095 0.9915
H8 0.8122 0.6844 0.2500

No. 6
Material: PuB2H6
Method: DFT, PBE-GGA
State: relaxed

Output
The value obtained for the total DFT energy (no corrections) is -5.375 eV per atom. The value obtained for the energy above the lowest structure with this stoichiometry is 0.000 eV per atom.

abc: 5.7581 5.7581 5.7581
angles: 122.57 105.65 101.06
Atoms (fractional coordinates):
Pu1 0.2500 0.2500 0.0000
Pu2 0.7500 0.7500 0.0000
B1 0.2320 0.7015 0.9335
B2 0.2680 0.2015 0.4695
B3 0.7320 0.7985 0.5305
B4 0.7680 0.2985 0.0665
H1 0.0149 0.4917 0.7962
H2 0.0963 0.2460 0.3423
H3 0.1956 0.9917 0.4769
H4 0.3044 0.7813 0.7962
H5 0.4037 0.7460 0.1497
H6 0.4851 0.2813 0.4769
H7 0.5149 0.7187 0.5231
H8 0.5963 0.2540 0.8503
H9 0.6956 0.2187 0.2038
H10 0.8044 0.0083 0.5231
H11 0.9037 0.7540 0.6577
H12 0.9851 0.5083 0.2038